A | RbNbAg2I: relaxed, PBE-GGA.

Geometry as CIF:
```
data_RbNbAg2I
_chemical_formula_sum 'Rb1 Nb1 Ag2 I1'
_symmetry_space_group_name_H-M 'P 1'
_symmetry_Int_Tables_number 1
_symmetry_space_group_name_Hall 'P 1'
_cell_length_a 5.4953
_cell_length_b 5.4233
_cell_length_c 5.4953
_cell_angle_alpha 90.00
_cell_angle_beta 90.00
_cell_angle_gamma 90.00
loop_
_atom_site_label
_atom_site_type_symbol
_atom_site_fract_x
_atom_site_fract_y
_atom_site_fract_z
_atom_site_occupancy
I1 I 0.0000 0.5000 0.0000 1
Ag1 Ag 0.0000 0.0000 0.5000 1
Ag2 Ag 0.5000 0.0000 0.0000 1
Rb1 Rb 0.5000 0.5000 0.5000 1
Nb1 Nb 0.0000 0.0000 0.0000 1
```

Crystal system: tetragonal
Space-group type: P4/mmm (123)
Mass density (kg/m³): 5283
Magnetic moment (μB per atom): 0.21

B | RbNbAg2I: relaxed, PBE-GGA.

Geometry as CIF:
```
data_RbNbAg2I
_chemical_formula_sum 'Rb1 Nb1 Ag2 I1'
_symmetry_space_group_name_H-M 'P 1'
_symmetry_Int_Tables_number 1
_symmetry_space_group_name_Hall 'P 1'
_cell_length_a 5.3300
_cell_length_b 5.3300
_cell_length_c 8.0881
_cell_angle_alpha 90.00
_cell_angle_beta 90.00
_cell_angle_gamma 90.00
loop_
_atom_site_label
_atom_site_type_symbol
_atom_site_fract_x
_atom_site_fract_y
_atom_site_fract_z
_atom_site_occupancy
Ag1 Ag 0.0000 0.5000 0.0000 1
Ag2 Ag 0.5000 0.0000 0.0000 1
Nb1 Nb 0.0000 0.0000 0.0000 1
Rb1 Rb 0.0000 0.0000 0.5000 1
I1 I 0.5000 0.5000 0.5000 1
```

Crystal system: tetragonal
Space-group type: P4/mmm (123)
Mass density (kg/m³): 3765
Magnetic moment (μB per atom): 0.60

Most stable one: A, least stable one: B.

A | Ni2AgI: relaxed, PBE-GGA.

Geometry as CIF:
```
data_Ni2AgI
_chemical_formula_sum 'Ni2 Ag1 I1'
_symmetry_space_group_name_H-M 'P 1'
_symmetry_Int_Tables_number 1
_symmetry_space_group_name_Hall 'P 1'
_cell_length_a 4.5131
_cell_length_b 4.5131
_cell_length_c 4.5131
_cell_angle_alpha 60.00
_cell_angle_beta 60.00
_cell_angle_gamma 60.00
loop_
_atom_site_label
_atom_site_type_symbol
_atom_site_fract_x
_atom_site_fract_y
_atom_site_fract_z
_atom_site_occupancy
Ag1 Ag 0.0000 0.0000 0.0000 1
Ni1 Ni 0.7500 0.7500 0.7500 1
Ni2 Ni 0.2500 0.2500 0.2500 1
I1 I 0.5000 0.5000 0.5000 1
```

Crystal system: cubic
Space-group type: Fm-3m (225)
Mass density (kg/m³): 8996
Magnetic moment (μB per atom): 0.00

B | Ni2AgI: relaxed, PBE-GGA.

Geometry as CIF:
```
data_Ni2AgI
_chemical_formula_sum 'Ni4 Ag2 I2'
_symmetry_space_group_name_H-M 'P 1'
_symmetry_Int_Tables_number 1
_symmetry_space_group_name_Hall 'P 1'
_cell_length_a 4.2887
_cell_length_b 4.2887
_cell_length_c 8.8472
_cell_angle_alpha 75.97
_cell_angle_beta 75.97
_cell_angle_gamma 90.00
loop_
_atom_site_label
_atom_site_type_symbol
_atom_site_fract_x
_atom_site_fract_y
_atom_site_fract_z
_atom_site_occupancy
Ni1 Ni 0.3750 0.3049 0.7500 1
Ni2 Ni 0.8750 0.9451 0.7500 1
Ni3 Ni 0.0549 0.6250 0.2500 1
Ni4 Ni 0.6951 0.1250 0.2500 1
Ag1 Ag 0.5000 0.5000 0.0000 1
Ag2 Ag 0.2500 0.7500 0.5000 1
I1 I 0.7500 0.2500 0.5000 1
I2 I 0.0000 0.0000 0.0000 1
```

Crystal system: tetragonal
Space-group type: I-42d (122)
Mass density (kg/m³): 7651
Magnetic moment (μB per atom): 0.00

Most stable one: A, least stable one: B.

A | NiAgSb2I: relaxed, PBE-GGA.

Geometry as CIF:
```
data_NiAgSb2I
_chemical_formula_sum 'Ni1 Ag1 Sb2 I1'
_symmetry_space_group_name_H-M 'P 1'
_symmetry_Int_Tables_number 1
_symmetry_space_group_name_Hall 'P 1'
_cell_length_a 5.3263
_cell_length_b 5.3263
_cell_length_c 5.6426
_cell_angle_alpha 90.00
_cell_angle_beta 90.00
_cell_angle_gamma 90.00
loop_
_atom_site_label
_atom_site_type_symbol
_atom_site_fract_x
_atom_site_fract_y
_atom_site_fract_z
_atom_site_occupancy
I1 I 0.0000 0.0000 0.5000 1
Ag1 Ag 0.0000 0.0000 0.0000 1
Sb1 Sb 0.5000 0.0000 0.0000 1
Sb2 Sb 0.0000 0.5000 0.0000 1
Ni1 Ni 0.5000 0.5000 0.5000 1
```

Crystal system: tetragonal
Space-group type: P4/mmm (123)
Mass density (kg/m³): 5570
Magnetic moment (μB per atom): 0.07

B | NiAgSb2I: relaxed, PBE-GGA.

Geometry as CIF:
```
data_NiAgSb2I
_chemical_formula_sum 'Ni1 Ag1 Sb2 I1'
_symmetry_space_group_name_H-M 'P 1'
_symmetry_Int_Tables_number 1
_symmetry_space_group_name_Hall 'P 1'
_cell_length_a 4.9155
_cell_length_b 4.9155
_cell_length_c 5.6754
_cell_angle_alpha 90.00
_cell_angle_beta 90.00
_cell_angle_gamma 90.00
loop_
_atom_site_label
_atom_site_type_symbol
_atom_site_fract_x
_atom_site_fract_y
_atom_site_fract_z
_atom_site_occupancy
I1 I 0.0000 0.0000 0.5000 1
Sb1 Sb 0.5000 0.0000 0.0000 1
Sb2 Sb 0.0000 0.5000 0.0000 1
Ag1 Ag 0.5000 0.5000 0.5000 1
Ni1 Ni 0.0000 0.0000 0.0000 1
```

Crystal system: tetragonal
Space-group type: P4/mmm (123)
Mass density (kg/m³): 6503
Magnetic moment (μB per atom): 0.00

Most stable one: B, least stable one: A.

A | NiAgTeI2: relaxed, PBE-GGA.

Geometry as CIF:
```
data_NiAgTeI2
_chemical_formula_sum 'Ni1 Ag1 Te1 I2'
_symmetry_space_group_name_H-M 'P 1'
_symmetry_Int_Tables_number 1
_symmetry_space_group_name_Hall 'P 1'
_cell_length_a 5.6042
_cell_length_b 5.6042
_cell_length_c 5.5860
_cell_angle_alpha 90.00
_cell_angle_beta 90.00
_cell_angle_gamma 90.00
loop_
_atom_site_label
_atom_site_type_symbol
_atom_site_fract_x
_atom_site_fract_y
_atom_site_fract_z
_atom_site_occupancy
I1 I 0.0000 0.5000 0.0000 1
I2 I 0.5000 0.0000 0.0000 1
Ag1 Ag 0.0000 0.0000 0.0000 1
Te1 Te 0.0000 0.0000 0.5000 1
Ni1 Ni 0.5000 0.5000 0.5000 1
```

Crystal system: tetragonal
Space-group type: P4/mmm (123)
Mass density (kg/m³): 5187
Magnetic moment (μB per atom): 0.33

B | NiAgTeI2: relaxed, PBE-GGA.

Geometry as CIF:
```
data_NiAgTeI2
_chemical_formula_sum 'Ni1 Ag1 Te1 I2'
_symmetry_space_group_name_H-M 'P 1'
_symmetry_Int_Tables_number 1
_symmetry_space_group_name_Hall 'P 1'
_cell_length_a 5.4478
_cell_length_b 5.4478
_cell_length_c 4.9639
_cell_angle_alpha 90.00
_cell_angle_beta 90.00
_cell_angle_gamma 90.00
loop_
_atom_site_label
_atom_site_type_symbol
_atom_site_fract_x
_atom_site_fract_y
_atom_site_fract_z
_atom_site_occupancy
Ni1 Ni 0.0000 0.0000 0.0000 1
Ag1 Ag 0.5000 0.5000 0.5000 1
Te1 Te 0.0000 0.0000 0.5000 1
I1 I 0.5000 0.0000 0.0000 1
I2 I 0.0000 0.5000 0.0000 1
```

Crystal system: tetragonal
Space-group type: P4/mmm (123)
Mass density (kg/m³): 6177
Magnetic moment (μB per atom): 0.12

Most stable one: B, least stable one: A.

A | NpAgI6: relaxed, PBE-GGA.

Geometry as CIF:
```
data_NpAgI6
_chemical_formula_sum 'Np1 Ag1 I6'
_symmetry_space_group_name_H-M 'P 1'
_symmetry_Int_Tables_number 1
_symmetry_space_group_name_Hall 'P 1'
_cell_length_a 7.8631
_cell_length_b 7.8631
_cell_length_c 7.6263
_cell_angle_alpha 102.00
_cell_angle_beta 102.00
_cell_angle_gamma 122.07
loop_
_atom_site_label
_atom_site_type_symbol
_atom_site_fract_x
_atom_site_fract_y
_atom_site_fract_z
_atom_site_occupancy
I1 I 0.5997 0.9106 0.7537 1
I2 I 0.4003 0.0894 0.2463 1
I3 I 0.0894 0.4003 0.2463 1
I4 I 0.7248 0.7248 0.2740 1
I5 I 0.9106 0.5997 0.7537 1
I6 I 0.2752 0.2752 0.7260 1
Ag1 Ag 0.0000 0.0000 0.0000 1
Np1 Np 0.5000 0.5000 0.5000 1
```

Crystal system: monoclinic
Space-group type: C2/m (12)
Mass density (kg/m³): 5091
Magnetic moment (μB per atom): 0.25

B | NpAgI6: relaxed, PBE-GGA.

Geometry as CIF:
```
data_NpAgI6
_chemical_formula_sum 'Np1 Ag1 I6'
_symmetry_space_group_name_H-M 'P 1'
_symmetry_Int_Tables_number 1
_symmetry_space_group_name_Hall 'P 1'
_cell_length_a 7.5074
_cell_length_b 7.5016
_cell_length_c 8.0769
_cell_angle_alpha 62.34
_cell_angle_beta 62.30
_cell_angle_gamma 59.96
loop_
_atom_site_label
_atom_site_type_symbol
_atom_site_fract_x
_atom_site_fract_y
_atom_site_fract_z
_atom_site_occupancy
I1 I 0.4002 0.7587 0.7510 1
I2 I 0.5998 0.2413 0.2490 1
I3 I 0.7590 0.0896 0.7515 1
I4 I 0.0895 0.4001 0.7512 1
I5 I 0.9105 0.5999 0.2488 1
I6 I 0.2410 0.9104 0.2485 1
Ag1 Ag 0.5000 0.5000 0.5000 1
Np1 Np 0.0000 0.0000 0.0000 1
```

Crystal system: triclinic
Space-group type: P-1 (2)
Mass density (kg/m³): 5528
Magnetic moment (μB per atom): 0.25

Most stable one: A, least stable one: B.

A | Ag2IO6: relaxed, PBE-GGA.

Geometry as CIF:
```
data_Ag2IO6
_chemical_formula_sum 'Ag2 I1 O6'
_symmetry_space_group_name_H-M 'P 1'
_symmetry_Int_Tables_number 1
_symmetry_space_group_name_Hall 'P 1'
_cell_length_a 4.8543
_cell_length_b 5.3390
_cell_length_c 5.9053
_cell_angle_alpha 116.89
_cell_angle_beta 114.29
_cell_angle_gamma 89.96
loop_
_atom_site_label
_atom_site_type_symbol
_atom_site_fract_x
_atom_site_fract_y
_atom_site_fract_z
_atom_site_occupancy
O1 O 0.8453 0.6026 0.6906 1
O2 O 0.1546 0.9120 0.3094 1
O3 O 0.8454 0.0880 0.6906 1
O4 O 0.4999 0.7548 0.0000 1
O5 O 0.5001 0.2452 0.0000 1
O6 O 0.1547 0.3974 0.3094 1
I1 I 0.0000 0.0000 0.0000 1
Ag1 Ag 0.6681 0.6681 0.3362 1
Ag2 Ag 0.3319 0.3319 0.6638 1
```

Crystal system: orthorhombic
Space-group type: Immm (71)
Mass density (kg/m³): 6013
Magnetic moment (μB per atom): 0.00

B | Ag2IO6: relaxed, PBE-GGA.

Geometry as CIF:
```
data_Ag2IO6
_chemical_formula_sum 'Ag2 I1 O6'
_symmetry_space_group_name_H-M 'P 1'
_symmetry_Int_Tables_number 1
_symmetry_space_group_name_Hall 'P 1'
_cell_length_a 3.9512
_cell_length_b 7.4109
_cell_length_c 7.3472
_cell_angle_alpha 106.56
_cell_angle_beta 89.83
_cell_angle_gamma 99.81
loop_
_atom_site_label
_atom_site_type_symbol
_atom_site_fract_x
_atom_site_fract_y
_atom_site_fract_z
_atom_site_occupancy
Ag1 Ag 0.7009 0.3424 0.3772 1
Ag2 Ag 0.2991 0.6576 0.6228 1
O1 O 0.2125 0.3796 0.4432 1
O2 O 0.7875 0.6204 0.5568 1
O3 O 0.3709 0.9268 0.8072 1
O4 O 0.6291 0.0732 0.1928 1
O5 O 0.9245 0.5490 0.0644 1
O6 O 0.0755 0.4510 0.9356 1
I1 I 0.0000 0.0000 0.0000 1
```

Crystal system: triclinic
Space-group type: P-1 (2)
Mass density (kg/m³): 3589
Magnetic moment (μB per atom): 0.22

Most stable one: B, least stable one: A.

A | Ag2I2O7: relaxed, PBE-GGA.

Geometry as CIF:
```
data_Ag2I2O7
_chemical_formula_sum 'Ag2 I2 O7'
_symmetry_space_group_name_H-M 'P 1'
_symmetry_Int_Tables_number 1
_symmetry_space_group_name_Hall 'P 1'
_cell_length_a 5.7149
_cell_length_b 6.1349
_cell_length_c 5.7149
_cell_angle_alpha 88.77
_cell_angle_beta 79.04
_cell_angle_gamma 91.23
loop_
_atom_site_label
_atom_site_type_symbol
_atom_site_fract_x
_atom_site_fract_y
_atom_site_fract_z
_atom_site_occupancy
I1 I 0.7370 0.8753 0.2630 1
I2 I 0.2630 0.1247 0.7370 1
O1 O 0.4874 0.7473 0.5126 1
O2 O 0.0000 0.0000 0.0000 1
O3 O 0.9524 0.6991 0.3836 1
O4 O 0.5126 0.2527 0.4874 1
O5 O 0.3836 0.3009 0.9524 1
O6 O 0.0476 0.3009 0.6165 1
O7 O 0.6165 0.6991 0.0476 1
Ag1 Ag 0.2986 0.5000 0.2986 1
Ag2 Ag 0.7014 0.5000 0.7014 1
```

Crystal system: monoclinic
Space-group type: C2/m (12)
Mass density (kg/m³): 4912
Magnetic moment (μB per atom): 0.10

B | Ag2I2O7: relaxed, PBE-GGA.

Geometry as CIF:
```
data_Ag2I2O7
_chemical_formula_sum 'Ag4 I4 O14'
_symmetry_space_group_name_H-M 'P 1'
_symmetry_Int_Tables_number 1
_symmetry_space_group_name_Hall 'P 1'
_cell_length_a 5.7991
_cell_length_b 6.6010
_cell_length_c 10.1009
_cell_angle_alpha 90.00
_cell_angle_beta 90.00
_cell_angle_gamma 115.71
loop_
_atom_site_label
_atom_site_type_symbol
_atom_site_fract_x
_atom_site_fract_y
_atom_site_fract_z
_atom_site_occupancy
Ag1 Ag 0.5559 0.9692 0.1622 1
Ag2 Ag 0.4441 0.5308 0.6622 1
Ag3 Ag 0.4441 0.0308 0.8378 1
Ag4 Ag 0.5559 0.4692 0.3378 1
O1 O 0.7144 0.4574 0.5360 1
O2 O 0.7144 0.9574 0.9640 1
O3 O 0.2856 0.5426 0.4640 1
O4 O 0.2856 0.0426 0.0360 1
O5 O 0.0000 0.5000 0.0000 1
O6 O 0.0145 0.3246 0.7006 1
O7 O 0.5480 0.9965 0.6359 1
O8 O 0.0000 0.0000 0.5000 1
O9 O 0.9855 0.6754 0.2994 1
O10 O 0.5480 0.4965 0.8641 1
O11 O 0.0145 0.8246 0.7994 1
O12 O 0.4520 0.0035 0.3641 1
O13 O 0.4520 0.5035 0.1359 1
O14 O 0.9855 0.1754 0.2006 1
I1 I 0.8386 0.2094 0.5473 1
I2 I 0.1614 0.7906 0.4527 1
I3 I 0.8386 0.7094 0.9527 1
I4 I 0.1614 0.2906 0.0473 1
```

Crystal system: monoclinic
Space-group type: P2_1/c (14)
Mass density (kg/m³): 5544
Magnetic moment (μB per atom): 0.00

Most stable one: B, least stable one: A.

A | Ag3IO6: relaxed, PBE-GGA.

Geometry as CIF:
```
data_Ag3IO6
_chemical_formula_sum 'Ag6 I2 O12'
_symmetry_space_group_name_H-M 'P 1'
_symmetry_Int_Tables_number 1
_symmetry_space_group_name_Hall 'P 1'
_cell_length_a 6.6703
_cell_length_b 6.6703
_cell_length_c 6.6703
_cell_angle_alpha 90.07
_cell_angle_beta 90.07
_cell_angle_gamma 90.07
loop_
_atom_site_label
_atom_site_type_symbol
_atom_site_fract_x
_atom_site_fract_y
_atom_site_fract_z
_atom_site_occupancy
Ag1 Ag 0.4284 0.0716 0.7500 1
Ag2 Ag 0.5716 0.9284 0.2500 1
Ag3 Ag 0.2500 0.5716 0.9284 1
Ag4 Ag 0.7500 0.4284 0.0716 1
Ag5 Ag 0.9284 0.2500 0.5716 1
Ag6 Ag 0.0716 0.7500 0.4284 1
I1 I 0.0000 0.0000 0.0000 1
I2 I 0.5000 0.5000 0.5000 1
O1 O 0.9775 0.7124 0.0313 1
O2 O 0.5225 0.4687 0.7876 1
O3 O 0.7876 0.5225 0.4687 1
O4 O 0.7124 0.0313 0.9775 1
O5 O 0.4775 0.5313 0.2124 1
O6 O 0.0225 0.2876 0.9687 1
O7 O 0.5313 0.2124 0.4775 1
O8 O 0.0313 0.9775 0.7124 1
O9 O 0.2124 0.4775 0.5313 1
O10 O 0.2876 0.9687 0.0225 1
O11 O 0.9687 0.0225 0.2876 1
O12 O 0.4687 0.7876 0.5225 1
```

Crystal system: trigonal
Space-group type: R-3c (167)
Mass density (kg/m³): 6116
Magnetic moment (μB per atom): 0.00

B | Ag3IO6: relaxed, PBE-GGA.

Geometry as CIF:
```
data_Ag3IO6
_chemical_formula_sum 'Ag3 I1 O6'
_symmetry_space_group_name_H-M 'P 1'
_symmetry_Int_Tables_number 1
_symmetry_space_group_name_Hall 'P 1'
_cell_length_a 5.0850
_cell_length_b 6.1153
_cell_length_c 6.1153
_cell_angle_alpha 52.82
_cell_angle_beta 69.35
_cell_angle_gamma 69.35
loop_
_atom_site_label
_atom_site_type_symbol
_atom_site_fract_x
_atom_site_fract_y
_atom_site_fract_z
_atom_site_occupancy
Ag1 Ag 0.7112 0.7671 0.7671 1
Ag2 Ag 0.2888 0.2329 0.2329 1
Ag3 Ag 0.0000 0.0000 0.0000 1
I1 I 0.5000 0.5000 0.5000 1
O1 O 0.8196 0.3379 0.3379 1
O2 O 0.6563 0.8340 0.3298 1
O3 O 0.3437 0.1660 0.6702 1
O4 O 0.6563 0.3298 0.8340 1
O5 O 0.1804 0.6621 0.6621 1
O6 O 0.3437 0.6702 0.1660 1
```

Crystal system: monoclinic
Space-group type: C2/m (12)
Mass density (kg/m³): 6516
Magnetic moment (μB per atom): 0.00

Most stable one: B, least stable one: A.